Entry 1:
Density functional theory data (PBE-GGA) for a geometry-optimized KLaP2S6 structure.

a b c (Å): 12.272 7.674 11.452
angles (deg): 90.00 109.52 90.00
Fractional coordinates of all 40 atoms:
1 K 0.128 0.094 0.371
2 K 0.128 0.406 0.871
3 K 0.872 0.594 0.129
4 K 0.872 0.906 0.629
5 La 0.353 0.606 0.598
6 La 0.353 0.894 0.098
7 La 0.647 0.106 0.902
8 La 0.647 0.394 0.402
9 P 0.214 0.618 0.267
10 P 0.214 0.882 0.767
11 P 0.332 0.099 0.754
12 P 0.332 0.401 0.254
13 P 0.668 0.599 0.746
14 P 0.668 0.901 0.246
15 P 0.786 0.118 0.233
16 P 0.786 0.382 0.733
17 S 0.121 0.524 0.368
18 S 0.121 0.976 0.868
19 S 0.134 0.703 0.092
20 S 0.134 0.797 0.592
21 S 0.231 0.216 0.144
22 S 0.231 0.284 0.644
23 S 0.326 0.694 0.862
24 S 0.326 0.806 0.362
25 S 0.413 0.181 0.931
26 S 0.413 0.319 0.431
27 S 0.447 0.520 0.184
28 S 0.447 0.980 0.684
29 S 0.553 0.020 0.316
30 S 0.553 0.480 0.816
31 S 0.587 0.681 0.569
32 S 0.587 0.819 0.069
33 S 0.674 0.194 0.638
34 S 0.674 0.306 0.138
35 S 0.769 0.716 0.356
36 S 0.769 0.784 0.856
37 S 0.866 0.203 0.408
38 S 0.866 0.297 0.908
39 S 0.879 0.024 0.132
40 S 0.879 0.476 0.632

Output
* SG: P2_1/c (14)


Entry 2:
Density functional theory data (PBE-GGA) for a geometry-optimized KLaPS2 structure.

a b c (Å): 5.231 5.231 4.962
angles (deg): 90.00 90.00 90.00
Fractional coordinates of all 5 atoms:
1 K 0.000 0.000 0.000
2 La 0.500 0.500 0.500
3 P 0.000 0.000 0.500
4 S 0.000 0.500 0.000
5 S 0.500 0.000 0.000

Output
* relative energy among the computed polymorphs: 781 meV/atom
* SG: P4/mmm (123)


Entry 3:
Density functional theory data (PBE-GGA) for a geometry-optimized KLaPS2 structure.

a b c (Å): 5.584 5.584 5.882
angles (deg): 90.00 90.00 90.00
Fractional coordinates of all 5 atoms:
1 K 0.000 0.000 0.000
2 La 0.500 0.500 0.500
3 P 0.500 0.500 0.000
4 S 0.000 0.500 0.500
5 S 0.500 0.000 0.500

Output
* relative energy among the computed polymorphs: 0 meV/atom
* SG: P4/mmm (123)


Entry 4:
Density functional theory data (PBE-GGA) for a geometry-optimized K8LaP4Se16 structure.

a b c (Å): 11.911 11.911 11.911
angles (deg): 134.56 127.65 71.79
Fractional coordinates of all 29 atoms:
1 K 0.162 0.536 0.866
2 K 0.203 0.203 0.000
3 K 0.255 0.755 0.500
4 K 0.330 0.464 0.626
5 K 0.670 0.295 0.134
6 K 0.745 0.245 0.500
7 K 0.797 0.797 0.000
8 K 0.838 0.705 0.374
9 La 0.500 0.000 0.500
10 P 0.134 0.084 0.468
11 P 0.384 0.916 0.049
12 P 0.616 0.665 0.532
13 P 0.866 0.335 0.951
14 Se 0.003 0.220 0.379
15 Se 0.021 0.033 0.527
16 Se 0.159 0.780 0.784
17 Se 0.173 0.860 0.252
18 Se 0.357 0.233 0.727
19 Se 0.392 0.140 0.313
20 Se 0.494 0.767 0.125
21 Se 0.494 0.967 0.988
22 Se 0.506 0.494 0.473
23 Se 0.506 0.630 0.273
24 Se 0.608 0.920 0.748
25 Se 0.643 0.370 0.875
26 Se 0.827 0.080 0.687
27 Se 0.841 0.624 0.621
28 Se 0.979 0.506 0.012
29 Se 0.997 0.376 0.216

Output
* SG: I222 (23)


Entry 5:
Density functional theory data (PBE-GGA) for a geometry-optimized K2LaP2Se7 structure.

a b c (Å): 9.676 7.327 22.588
angles (deg): 90.00 110.08 90.00
Fractional coordinates of all 48 atoms:
1 K 0.150 0.079 0.324
2 K 0.150 0.421 0.824
3 K 0.246 0.525 0.486
4 K 0.246 0.975 0.986
5 K 0.754 0.025 0.014
6 K 0.754 0.475 0.514
7 K 0.850 0.579 0.176
8 K 0.850 0.921 0.676
9 La 0.350 0.025 0.650
10 La 0.350 0.475 0.150
11 La 0.650 0.525 0.850
12 La 0.650 0.975 0.350
13 P 0.037 0.022 0.458
14 P 0.037 0.478 0.958
15 P 0.422 0.521 0.329
16 P 0.422 0.979 0.829
17 P 0.578 0.021 0.171
18 P 0.578 0.479 0.671
19 P 0.963 0.522 0.042
20 P 0.963 0.978 0.542
21 Se 0.042 0.220 0.603
22 Se 0.042 0.280 0.103
23 Se 0.084 0.738 0.592
24 Se 0.084 0.762 0.092
25 Se 0.210 0.040 0.752
26 Se 0.210 0.460 0.252
27 Se 0.277 0.060 0.499
28 Se 0.277 0.440 0.999
29 Se 0.409 0.737 0.886
30 Se 0.409 0.763 0.386
31 Se 0.414 0.093 0.218
32 Se 0.414 0.407 0.718
33 Se 0.485 0.215 0.895
34 Se 0.485 0.285 0.395
35 Se 0.515 0.715 0.605
36 Se 0.515 0.785 0.105
37 Se 0.586 0.593 0.282
38 Se 0.586 0.907 0.782
39 Se 0.591 0.237 0.614
40 Se 0.591 0.263 0.114
41 Se 0.723 0.560 0.001
42 Se 0.723 0.940 0.501
43 Se 0.790 0.540 0.748
44 Se 0.790 0.960 0.248
45 Se 0.916 0.238 0.908
46 Se 0.916 0.262 0.408
47 Se 0.958 0.720 0.897
48 Se 0.958 0.780 0.397

Output
* SG: P2_1/c (14)


Entry 6:
Density functional theory data (PBE-GGA) for a geometry-optimized KLa2PaS5 structure.

a b c (Å): 8.317 8.317 8.317
angles (deg): 144.35 127.85 64.78
Fractional coordinates of all 9 atoms:
1 K 0.000 0.000 0.000
2 La 0.296 0.796 0.500
3 La 0.704 0.204 0.500
4 Pa 0.500 0.500 0.000
5 S 0.116 0.353 0.763
6 S 0.410 0.647 0.763
7 S 0.500 0.000 0.500
8 S 0.590 0.353 0.237
9 S 0.884 0.647 0.237

Output
* SG: Immm (71)


Entry 7:
Density functional theory data (PBE-GGA) for a geometry-optimized K2LaPaS4 structure.

a b c (Å): 7.246 4.131 7.804
angles (deg): 90.00 107.70 90.00
Fractional coordinates of all 8 atoms:
1 K 0.000 0.000 0.000
2 K 0.500 0.500 0.000
3 La 0.000 0.500 0.500
4 Pa 0.500 0.000 0.500
5 S 0.252 0.000 0.710
6 S 0.276 0.500 0.294
7 S 0.724 0.500 0.706
8 S 0.748 0.000 0.290

Output
* SG: P2/m (10)


Entry 8:
Density functional theory data (PBE-GGA) for a geometry-optimized K2La2PaS6 structure.

a b c (Å): 7.280 7.280 7.861
angles (deg): 98.96 98.96 119.43
Fractional coordinates of all 11 atoms:
1 K 0.168 0.832 0.000
2 K 0.832 0.168 0.000
3 La 0.335 0.665 0.500
4 La 0.665 0.335 0.500
5 Pa 0.000 0.000 0.500
6 S 0.062 0.383 0.698
7 S 0.245 0.245 0.302
8 S 0.383 0.062 0.698
9 S 0.617 0.938 0.302
10 S 0.755 0.755 0.698
11 S 0.938 0.617 0.302

Output
* SG: C2/m (12)


Entry 9:
Density functional theory data (PBE-GGA) for a geometry-optimized K4La3PaSe8 structure.

a b c (Å): 9.213 9.213 9.213
angles (deg): 56.94 56.94 56.94
Fractional coordinates of all 16 atoms:
1 K 0.000 0.000 0.000
2 K 0.000 0.500 0.500
3 K 0.500 0.000 0.500
4 K 0.500 0.500 0.000
5 La 0.000 0.000 0.500
6 La 0.000 0.500 0.000
7 La 0.500 0.000 0.000
8 Pa 0.500 0.500 0.500
9 Se 0.238 0.238 0.238
10 Se 0.248 0.731 0.731
11 Se 0.269 0.269 0.752
12 Se 0.269 0.752 0.269
13 Se 0.731 0.248 0.731
14 Se 0.731 0.731 0.248
15 Se 0.752 0.269 0.269
16 Se 0.762 0.762 0.762

Output
* SG: R-3m (166)


Entry 10:
Density functional theory data (PBE-GGA) for a geometry-optimized K2LaPaSe4 structure.

a b c (Å): 7.512 4.290 8.133
angles (deg): 90.00 107.62 90.00
Fractional coordinates of all 8 atoms:
1 K 0.000 0.000 0.000
2 K 0.500 0.500 0.000
3 La 0.000 0.500 0.500
4 Pa 0.500 0.000 0.500
5 Se 0.250 0.000 0.714
6 Se 0.273 0.500 0.289
7 Se 0.727 0.500 0.711
8 Se 0.750 0.000 0.286

Output
* SG: P2/m (10)


Entry 11:
Density functional theory data (PBE-GGA) for a geometry-optimized KLa2PaSe5 structure.

a b c (Å): 8.691 8.691 8.691
angles (deg): 144.28 128.13 64.58
Fractional coordinates of all 9 atoms:
1 K 0.000 0.000 0.000
2 La 0.298 0.798 0.500
3 La 0.702 0.202 0.500
4 Pa 0.500 0.500 0.000
5 Se 0.112 0.352 0.760
6 Se 0.408 0.648 0.760
7 Se 0.500 0.000 0.500
8 Se 0.592 0.352 0.240
9 Se 0.888 0.648 0.240

Output
* SG: Immm (71)


Entry 12:
Density functional theory data (PBE-GGA) for a geometry-optimized K3La3PaSe8 structure.

a b c (Å): 9.271 9.271 9.271
angles (deg): 56.66 56.66 56.66
Fractional coordinates of all 15 atoms:
1 K 0.000 0.500 0.500
2 K 0.500 0.000 0.500
3 K 0.500 0.500 0.000
4 La 0.000 0.000 0.500
5 La 0.000 0.500 0.000
6 La 0.500 0.000 0.000
7 Pa 0.500 0.500 0.500
8 Se 0.237 0.237 0.237
9 Se 0.249 0.726 0.726
10 Se 0.274 0.274 0.751
11 Se 0.274 0.751 0.274
12 Se 0.726 0.249 0.726
13 Se 0.726 0.726 0.249
14 Se 0.751 0.274 0.274
15 Se 0.763 0.763 0.763

Output
* SG: R-3m (166)


The records above give, respectively, energy relative to the elements, uncorrected values of -1.02 0.21 -0.57 -0.83 -0.91 -1.80 -1.67 -1.83 -1.68 -1.55 -1.62 -1.74 eV per atom.
The records above give, respectively, energy values of -5.184 -3.731 -4.511 -3.971 -4.439 -6.365 -5.814 -6.045 -5.219 -5.368 -5.825 -5.436 eV/atom.